TbFe2C | Alexandria via LeMat-Bulk | GGA-PBE | relaxed; DOS(E_F) = 6.16 states/eV/cell; E_form = 0.0301 eV/atom; space-group type = Cmcm; mass density = 8.71 g cm⁻³
1.0
3.432 0.000 0.000
0.000 3.527 0.000
-1.716 0.000 8.905
Tb Fe C
2 4 2
direct
0.384 0.250 0.768 Tb
0.616 0.750 0.232 Tb
0.750 0.250 0.500 Fe
0.250 0.750 0.500 Fe
0.037 0.250 0.075 Fe
0.963 0.750 0.925 Fe
0.197 0.250 0.394 C
0.803 0.750 0.606 C

TbFe2C | Alexandria via LeMat-Bulk | GGA-PBE | relaxed; DOS(E_F) = 4.47 states/eV/cell; E_form = 0.3154 eV/atom; space-group type = R-3m; mass density = 8.55 g cm⁻³
1.0
-1.909 -2.175 -0.986
0.882 -1.923 -2.208
2.090 -5.623 3.615
C Tb Fe
1 1 2
direct
0.000 0.000 0.000 C
0.500 0.500 0.500 Tb
0.710 0.710 0.870 Fe
0.290 0.290 0.130 Fe

Tb3FeC3 | Alexandria via LeMat-Bulk | GGA-PBE | relaxed; DOS(E_F) = 7.77 states/eV/cell; E_form = -0.2471 eV/atom; space-group type = Cmcm; mass density = 8.45 g cm⁻³
1.0
5.110 0.000 0.000
0.000 6.553 -1.270
0.000 -0.023 6.677
Tb Fe C
6 2 6
direct
0.750 0.591 0.833 Tb
0.750 0.108 0.892 Tb
0.750 0.167 0.409 Tb
0.250 0.409 0.167 Tb
0.250 0.892 0.108 Tb
0.250 0.833 0.591 Tb
0.250 0.301 0.699 Fe
0.750 0.699 0.301 Fe
0.250 0.566 0.827 C
0.250 0.124 0.876 C
0.250 0.173 0.435 C
0.750 0.434 0.173 C
0.750 0.876 0.124 C
0.750 0.827 0.565 C

TbFe12C6 | Alexandria via LeMat-Bulk | GGA-PBE | relaxed; DOS(E_F) = 14.33 states/eV/cell; E_form = 0.0173 eV/atom; space-group type = R-3m; mass density = 8.33 g cm⁻³
1.0
-2.956 0.660 -4.989
-3.592 -3.236 3.270
-0.333 5.280 2.465
Tb Fe C
1 12 6
direct
0.000 0.000 0.000 Tb
0.865 0.135 0.500 Fe
0.813 0.543 0.543 Fe
0.543 0.543 0.813 Fe
0.457 0.187 0.457 Fe
0.457 0.457 0.187 Fe
0.187 0.457 0.457 Fe
0.135 0.500 0.865 Fe
0.500 0.865 0.135 Fe
0.135 0.865 0.500 Fe
0.865 0.500 0.135 Fe
0.500 0.135 0.865 Fe
0.543 0.813 0.543 Fe
0.669 0.230 0.230 C
0.230 0.230 0.669 C
0.230 0.669 0.230 C
0.770 0.770 0.331 C
0.331 0.770 0.770 C
0.770 0.331 0.770 C

TbFeC | Alexandria via LeMat-Bulk | GGA-PBE | relaxed; DOS(E_F) = 8.40 states/eV/cell; E_form = 0.0730 eV/atom; space-group type = Pbcm; mass density = 9.65 g cm⁻³
1.0
-4.629 -1.636 1.152
1.904 -5.627 -0.339
1.220 0.108 5.055
Fe Tb C
4 4 4
direct
0.910 0.250 0.912 Fe
0.410 0.750 0.088 Fe
0.910 0.750 0.088 Fe
0.410 0.250 0.912 Fe
0.160 0.086 0.353 Tb
0.660 0.914 0.647 Tb
0.160 0.586 0.647 Tb
0.660 0.414 0.353 Tb
0.160 0.473 0.150 C
0.660 0.527 0.850 C
0.160 0.973 0.850 C
0.660 0.027 0.150 C

TbFeC | Alexandria via LeMat-Bulk | GGA-PBE | relaxed; DOS(E_F) = 4.72 states/eV/cell; E_form = -0.1390 eV/atom; space-group type = P2_1/m; mass density = 8.07 g cm⁻³
1.0
-1.823 0.749 2.599
0.471 -5.176 1.822
4.132 2.984 2.038
Tb Fe C
2 2 2
direct
0.750 0.670 0.792 Tb
0.250 0.330 0.208 Tb
0.750 0.856 0.361 Fe
0.250 0.144 0.639 Fe
0.750 0.223 0.504 C
0.250 0.777 0.496 C

TbFeC | Alexandria via LeMat-Bulk | GGA-PBE | relaxed; DOS(E_F) = 5.64 states/eV/cell; E_form = -0.1627 eV/atom; space-group type = C2/m; mass density = 8.45 g cm⁻³
1.0
3.326 0.000 0.000
0.000 5.617 -0.667
-1.663 -1.057 4.898
Tb Fe C
2 2 2
direct
0.899 0.680 0.797 Tb
0.101 0.320 0.203 Tb
0.671 0.873 0.342 Fe
0.329 0.127 0.658 Fe
0.227 0.772 0.454 C
0.773 0.228 0.546 C

Tb12Fe5C15 | Alexandria via LeMat-Bulk | GGA-PBE | relaxed; DOS(E_F) = 13.86 states/eV/cell; E_form = -0.3198 eV/atom; space-group type = P-62m; mass density = 8.14 g cm⁻³
1.0
-4.303 1.111 -2.489
-4.305 -8.881 3.477
-0.949 8.806 5.572
Tb Fe C
12 5 15
direct
0.000 0.184 0.730 Tb
0.000 0.545 0.816 Tb
0.000 0.270 0.455 Tb
0.000 0.730 0.184 Tb
0.000 0.816 0.545 Tb
0.000 0.455 0.270 Tb
0.500 0.567 0.567 Tb
0.500 0.000 0.433 Tb
0.500 0.433 0.000 Tb
0.500 0.208 0.208 Tb
0.500 0.000 0.792 Tb
0.500 0.792 0.000 Tb
0.000 0.845 0.845 Fe
0.000 0.000 0.155 Fe
0.000 0.155 0.000 Fe
0.500 0.333 0.667 Fe
0.500 0.667 0.333 Fe
0.500 0.191 0.715 C
0.500 0.524 0.809 C
0.500 0.285 0.476 C
0.500 0.715 0.191 C
0.500 0.809 0.524 C
0.500 0.476 0.285 C
0.000 0.676 0.676 C
0.000 0.000 0.324 C
0.000 0.324 0.000 C
0.000 0.548 0.548 C
0.000 0.000 0.452 C
0.000 0.452 0.000 C
0.000 0.197 0.197 C
0.000 0.000 0.803 C
0.000 0.803 0.000 C

Tb2FeC4 | Alexandria via LeMat-Bulk | GGA-PBE | relaxed; DOS(E_F) = 2.29 states/eV/cell; E_form = -0.2816 eV/atom; space-group type = Ibam; mass density = 7.61 g cm⁻³
1.0
-2.531 3.740 4.859
2.531 -3.740 4.859
2.531 3.740 -4.859
Tb Fe C
4 2 8
direct
0.486 0.644 0.842 Tb
0.514 0.356 0.158 Tb
0.802 0.144 0.658 Tb
0.198 0.856 0.342 Tb
0.000 0.750 0.750 Fe
0.000 0.250 0.250 Fe
0.536 0.872 0.664 C
0.464 0.128 0.336 C
0.208 0.372 0.836 C
0.792 0.628 0.164 C
0.758 0.922 0.836 C
0.242 0.078 0.164 C
0.086 0.422 0.664 C
0.914 0.578 0.336 C

Tb2Fe3C2 | Alexandria via LeMat-Bulk | GGA-PBE | relaxed; DOS(E_F) = 4.39 states/eV/cell; E_form = 0.0646 eV/atom; space-group type = C2/m; mass density = 9.13 g cm⁻³
1.0
3.341 0.000 0.000
-1.671 4.792 -0.366
0.000 -2.665 5.993
Tb Fe C
2 3 2
direct
0.873 0.747 0.221 Tb
0.127 0.253 0.779 Tb
0.500 0.000 0.000 Fe
0.659 0.318 0.413 Fe
0.341 0.682 0.587 Fe
0.841 0.682 0.762 C
0.159 0.318 0.238 C

Tb2Fe5C4 | Alexandria via LeMat-Bulk | GGA-PBE | relaxed; DOS(E_F) = 3.64 states/eV/cell; E_form = -0.1869 eV/atom; space-group type = Fmmm; mass density = 9.02 g cm⁻³
1.0
4.979 0.000 0.000
2.490 4.639 0.000
2.490 0.000 5.140
Tb Fe C
2 5 4
direct
0.853 0.000 0.294 Tb
0.147 0.000 0.706 Tb
0.500 0.000 0.000 Fe
0.000 0.500 0.000 Fe
0.500 0.500 0.000 Fe
0.250 0.500 0.500 Fe
0.750 0.500 0.500 Fe
0.469 0.323 0.738 C
0.531 0.677 0.262 C
0.208 0.323 0.262 C
0.792 0.677 0.738 C

TbFe2C2 | Alexandria via LeMat-Bulk | GGA-PBE | relaxed; DOS(E_F) = 5.43 states/eV/cell; E_form = -0.2641 eV/atom; space-group type = Fddd; mass density = 8.66 g cm⁻³
1.0
-1.090 -1.417 4.831
-4.330 0.191 -2.784
3.258 -3.732 -2.175
Tb Fe C
2 4 4
direct
0.875 0.625 0.750 Tb
0.125 0.375 0.250 Tb
0.242 0.992 0.483 Fe
0.492 0.742 0.983 Fe
0.758 0.008 0.517 Fe
0.508 0.258 0.017 Fe
0.189 0.311 0.750 C
0.439 0.061 0.250 C
0.561 0.939 0.750 C
0.811 0.689 0.250 C

- Among the records above, which one has the lowest DOS(E_F)?
  Tb2FeC4